No. 1
Entry from Alexandria: an optimized crystal structure of ZrFeRu (PBE).

Unit cell a=3.2168 b=3.2168 c=9.3161 alpha=90.00 beta=90.00 gamma=90.00
Closest atoms and distances in Å follow each position.
Space group I4mm (No. 107)
Asymmetric unit:
Zr1 0.0000 0.0000 0.0000  5 Ru 2.78-3.06, 5 Fe 2.82-3.00
Fe1 0.0000 0.0000 0.6780  4 Ru 2.67, 4 Zr 2.82
Ru1 0.0000 0.0000 0.3281  4 Fe 2.67, 4 Zr 2.78

* spin magnetization: 0.94 μB/atom
* calculated total energy: -8.896 eV per atom
* DFT formation energy: -0.4 eV/f.u.

No. 2
Entry from Alexandria: an optimized crystal structure of Zr2FeRu (PBE).

Unit cell a=3.1556 b=4.2151 c=5.3394 alpha=90.00 beta=90.00 gamma=90.00
Closest atoms and distances in Å follow each position.
Space group Pmm2 (No. 25)
Asymmetric unit:
Zr1 0.0000 0.0000 0.0000  2 Fe 2.64-2.70, 4 Ru 2.75
Zr2 0.5000 0.5000 0.3621  2 Ru 2.62-2.72, 4 Fe 2.73
Fe1 0.0000 0.0000 0.4949  6 Zr 2.64-2.73
Ru1 0.5000 0.5000 0.8535  6 Zr 2.62-2.75

* spin magnetization: 0.08 μB/atom
* calculated total energy: -8.737 eV per atom
* DFT formation energy: -0.1 eV/f.u.

No. 3
Entry from Alexandria: an optimized crystal structure of Fe7S8 (PBE).

Unit cell a=11.2178 b=6.6693 c=11.4920 alpha=90.00 beta=115.67 gamma=90.00
Closest atoms and distances in Å follow each position.
Space group C2/c (No. 15)
Asymmetric unit:
Fe1 0.0000 0.1994 0.2500  6 S 2.16-2.38
Fe2 0.0890 0.3064 0.9698  5 S 2.10-2.29
Fe3 0.1063 0.1038 0.4995  6 S 2.19-2.45
Fe4 0.2239 0.3980 0.2297  6 S 2.17-2.37
S1 0.0116 0.4042 0.1102  4 Fe 2.16-2.24
S2 0.0423 0.0920 0.6540  3 Fe 2.10-2.25
S3 0.2270 0.1505 0.3710  5 Fe 2.24-2.45
S4 0.2343 0.3601 0.8820  5 Fe 2.27-2.36

* spin magnetization: 0.12 μB/atom
* calculated total energy: -6.529 eV per atom
* energy above the most stable polymorph in this dataset: 0.0 meV/atom
* formation energy without anion corrections: -5.7 eV/f.u.

No. 4
Entry from Alexandria: an optimized crystal structure of Fe2S3 (PBE).

Unit cell a=5.8325 b=5.8325 c=13.9827 alpha=90.00 beta=90.00 gamma=120.00
Closest atoms and distances in Å follow each position.
Space group R-3c (No. 167, hexagonal axes)
Asymmetric unit:
Fe1 0.0000 0.0000 0.1582  6 S 2.25-2.26
S1 0.0000 0.3183 0.2500  4 Fe 2.25-2.26

* spin magnetization: 0.00 μB/atom
* calculated total energy: -6.262 eV per atom
* formation energy without anion corrections: -2.0 eV/f.u.

No. 5
Entry from Alexandria: an optimized crystal structure of Fe4S (PBE).

Unit cell a=4.1131 b=4.1131 c=4.1131 alpha=90.00 beta=90.00 gamma=90.00
Closest atoms and distances in Å follow each position.
Space group Pm-3m (No. 221)
Asymmetric unit:
Fe1 0.0000 0.0000 0.0000  12 Fe 2.91
Fe2 0.0000 0.5000 0.5000  2 S 2.06
S1 0.5000 0.5000 0.5000  6 Fe 2.06

* spin magnetization: 1.93 μB/atom
* calculated total energy: -7.237 eV per atom
* formation energy without anion corrections: 1.8 eV/f.u.

No. 6
Entry from Alexandria: an optimized crystal structure of FeS8 (PBE).

Unit cell a=7.9773 b=10.8293 c=13.9826 alpha=90.00 beta=90.00 gamma=90.00
Closest atoms and distances in Å follow each position.
Space group Fmmm (No. 69)
Asymmetric unit:
Fe1 0.0000 0.0000 0.0000  4 S 2.20
S1 0.0000 0.0000 0.3966  2 S 2.11
S2 0.0000 0.0950 0.1389  1 S 2.06, 1 Fe 2.20
S3 0.0000 0.1415 0.5000  2 S 2.11

* spin magnetization: 0.59 μB/atom
* calculated total energy: -4.243 eV per atom
* formation energy without anion corrections: 3.3 eV/f.u.

No. 7
Entry from Alexandria: an optimized crystal structure of FeS2 (PBE).

Unit cell a=4.4379 b=5.4071 c=3.3868 alpha=90.00 beta=90.00 gamma=90.00
Closest atoms and distances in Å follow each position.
Space group Pnnm (No. 58)
Asymmetric unit:
Fe1 0.0000 0.0000 0.0000  6 S 2.23-2.24
S1 0.2059 0.3752 0.0000  3 Fe 2.23-2.24, 1 S 2.27

* spin magnetization: 0.00 μB/atom
* calculated total energy: -6.078 eV per atom
* formation energy without anion corrections: -1.5 eV/f.u.

No. 8
Entry from Alexandria: an optimized crystal structure of Fe3S4 (PBE).

Unit cell a=3.3218 b=3.3218 c=32.8735 alpha=90.00 beta=90.00 gamma=120.00
Closest atoms and distances in Å follow each position.
Space group R-3m (No. 166, hexagonal axes)
Asymmetric unit:
Fe1 0.0000 0.0000 0.0000  6 S 2.26
Fe2 0.0000 0.0000 0.0796  6 S 2.24-2.38
S1 0.0000 0.0000 0.2184  3 Fe 2.24
S2 0.0000 0.0000 0.3698  6 Fe 2.26-2.38

* spin magnetization: 0.23 μB/atom
* calculated total energy: -6.274 eV per atom
* formation energy without anion corrections: -2.0 eV/f.u.

No. 9
Entry from Alexandria: an optimized crystal structure of FeS2 (PBE).

Unit cell a=5.3998 b=5.3998 c=5.3998 alpha=90.00 beta=90.00 gamma=90.00
Closest atoms and distances in Å follow each position.
Space group Pa-3 (No. 205)
Asymmetric unit:
Fe1 0.0000 0.0000 0.0000  6 S 2.25
S1 0.1172 0.6172 0.8828  1 S 2.19, 3 Fe 2.25

* spin magnetization: 0.00 μB/atom
* calculated total energy: -6.070 eV per atom
* formation energy without anion corrections: -1.5 eV/f.u.

No. 10
Entry from Alexandria: an optimized crystal structure of Fe7S8 (PBE).

Unit cell a=6.3240 b=5.7038 c=11.1069 alpha=90.00 beta=99.66 gamma=90.00
Closest atoms and distances in Å follow each position.
Space group P2_1/c (No. 14)
Asymmetric unit:
Fe1 0.0000 0.0000 0.0000  6 S 2.22-2.29
Fe2 0.1717 0.0233 0.3587  5 S 2.14-2.27
Fe3 0.2554 0.0350 0.7312  5 S 2.20-2.39
Fe4 0.4154 0.0146 0.0974  4 S 2.19-2.29
S1 0.0661 0.6792 0.6872  4 Fe 2.23-2.37
S2 0.1994 0.1811 0.5455  4 Fe 2.20-2.24
S3 0.2735 0.6679 0.4213  5 Fe 2.19-2.39
S4 0.4645 0.1641 0.3168  4 Fe 2.14-2.29

* spin magnetization: 0.20 μB/atom
* calculated total energy: -6.496 eV per atom
* energy above the most stable polymorph in this dataset: 32.6 meV/atom
* formation energy without anion corrections: -5.2 eV/f.u.

No. 11
Entry from Alexandria: an optimized crystal structure of Fe4S5 (PBE).

Unit cell a=5.6827 b=7.9192 c=7.9215 alpha=90.11 beta=90.03 gamma=90.08
Closest atoms and distances in Å follow each position.
Space group P-1 (No. 2)
Asymmetric unit:
Fe1 0.0147 0.1533 0.0427  4 S 2.15-2.19
Fe2 0.0146 0.3467 0.4572  4 S 2.15-2.19
Fe3 0.0164 0.4590 0.1523  4 S 2.15-2.21
Fe4 0.0166 0.0411 0.3476  4 S 2.15-2.21
S1 0.2026 0.7502 0.7501  4 Fe 2.19-2.21
S2 0.2296 0.5488 0.3623  3 Fe 2.15-2.17
S3 0.2296 0.9518 0.1380  3 Fe 2.15-2.17
S4 0.2349 0.1396 0.5465  3 Fe 2.15-2.19
S5 0.2348 0.3610 0.9537  3 Fe 2.15-2.19

* spin magnetization: 0.00 μB/atom
* calculated total energy: -6.514 eV per atom
* formation energy without anion corrections: -4.1 eV/f.u.

No. 12
Entry from Alexandria: an optimized crystal structure of FeS2 (PBE).

Unit cell a=5.2758 b=5.2758 c=9.4542 alpha=90.00 beta=90.00 gamma=90.00
Closest atoms and distances in Å follow each position.
Space group I-42d (No. 122)
Asymmetric unit:
Fe1 0.0000 0.0000 0.0000  4 S 2.08
S1 0.2058 0.2500 0.1250  2 Fe 2.08

* spin magnetization: 0.00 μB/atom
* calculated total energy: -5.725 eV per atom
* formation energy without anion corrections: -0.5 eV/f.u.

No. 13
Entry from Alexandria: an optimized crystal structure of FeS2 (PBE).

Unit cell a=6.7230 b=5.6532 c=5.7286 alpha=90.00 beta=92.11 gamma=90.00
Closest atoms and distances in Å follow each position.
Space group P2/c (No. 13)
Asymmetric unit:
Fe1 0.1136 0.2501 0.0056  6 S 2.31-2.51
S1 0.2231 0.1129 0.3765  1 S 2.18, 2 Fe 2.31-2.35
S2 0.2232 0.3872 0.6437  1 S 2.18, 2 Fe 2.31-2.36

* spin magnetization: 0.96 μB/atom
* calculated total energy: -5.653 eV per atom
* formation energy without anion corrections: -0.2 eV/f.u.

No. 14
Entry from Alexandria: an optimized crystal structure of Fe3S4 (PBE).

Unit cell a=3.0598 b=3.0598 c=39.0232 alpha=90.00 beta=90.00 gamma=120.00
Closest atoms and distances in Å follow each position.
Space group R3m (No. 160, hexagonal axes)
Asymmetric unit:
Fe1 0.0000 0.0000 0.0000  3 S 2.18
Fe2 0.0000 0.0000 0.1757  3 S 2.18
Fe3 0.0000 0.0000 0.4212  6 S 2.37
S1 0.0000 0.0000 0.6339  3 Fe 2.18
S2 0.0000 0.0000 0.7140  6 Fe 2.37-2.56
S3 0.0000 0.0000 0.7950  6 Fe 2.37-2.56
S4 0.0000 0.0000 0.8752  3 Fe 2.18

* spin magnetization: 0.03 μB/atom
* calculated total energy: -6.151 eV per atom
* formation energy without anion corrections: -1.2 eV/f.u.

No. 15
Entry from Alexandria: an optimized crystal structure of FeS2 (PBE).

Unit cell a=3.4847 b=3.4847 c=12.8352 alpha=90.00 beta=90.00 gamma=120.00
Closest atoms and distances in Å follow each position.
Space group R-3m (No. 166, hexagonal axes)
Asymmetric unit:
Fe1 0.0000 0.0000 0.0000  6 S 2.26
S1 0.0000 0.0000 0.4137  1 S 2.22, 3 Fe 2.26

* spin magnetization: 0.00 μB/atom
* calculated total energy: -5.841 eV per atom
* formation energy without anion corrections: -0.8 eV/f.u.

No. 16
Entry from Alexandria: an optimized crystal structure of Fe3S4 (PBE).

Unit cell a=11.2665 b=3.2879 c=5.6514 alpha=90.00 beta=116.24 gamma=90.00
Closest atoms and distances in Å follow each position.
Space group C2/m (No. 12)
Asymmetric unit:
Fe1 0.0000 0.0000 0.0000  6 S 2.25-2.29
Fe2 0.2307 0.5000 0.6893  6 S 2.19-2.44
S1 0.1096 0.0000 0.4441  4 Fe 2.19-2.25
S2 0.1371 0.5000 0.9814  5 Fe 2.29-2.44

* spin magnetization: 0.34 μB/atom
* calculated total energy: -6.384 eV per atom
* formation energy without anion corrections: -2.8 eV/f.u.

No. 17
Entry from Alexandria: an optimized crystal structure of Fe3S4 (PBE).

Unit cell a=9.4628 b=9.4628 c=9.4628 alpha=90.00 beta=90.00 gamma=90.00
Closest atoms and distances in Å follow each position.
Space group Fd-3m (No. 227, origin choice 2)
Asymmetric unit:
Fe1 0.0000 0.0000 0.0000  6 S 2.32
Fe2 0.1250 0.1250 0.6250  4 S 2.13
S1 0.0051 0.0051 0.2449  4 Fe 2.13-2.32

* spin magnetization: 0.28 μB/atom
* calculated total energy: -6.360 eV per atom
* formation energy without anion corrections: -2.6 eV/f.u.

No. 18
Entry from Alexandria: an optimized crystal structure of Fe3S4 (PBE).

Unit cell a=22.6566 b=3.2892 c=5.4684 alpha=90.00 beta=98.70 gamma=90.00
Closest atoms and distances in Å follow each position.
Space group C2/m (No. 12)
Asymmetric unit:
Fe1 0.1283 0.0000 0.2341  6 S 2.20-2.38
Fe2 0.1327 0.5000 0.6448  6 S 2.15-2.36
Fe3 0.2488 0.0000 0.2009  6 S 2.20-2.37
S1 0.0690 0.5000 0.3108  3 Fe 2.15-2.20
S2 0.0845 0.0000 0.8192  3 Fe 2.26-2.33
S3 0.1833 0.5000 0.0475  6 Fe 2.20-2.38
S4 0.2009 0.0000 0.5564  6 Fe 2.22-2.37

* spin magnetization: 0.00 μB/atom
* calculated total energy: -6.313 eV per atom
* formation energy without anion corrections: -2.3 eV/f.u.

No. 19
Entry from Alexandria: an optimized crystal structure of Fe2SbS2 (PBE).

Unit cell a=3.8664 b=3.8664 c=10.6727 alpha=90.00 beta=90.00 gamma=90.00
Closest atoms and distances in Å follow each position.
Space group I4/mmm (No. 139)
Asymmetric unit:
Fe1 0.0000 0.0000 0.1263  4 S 2.34
Sb1 0.0000 0.0000 0.5000  8 Fe 3.05, 8 S 3.29
S1 0.0000 0.5000 0.2500  4 Fe 2.34

* spin magnetization: 0.84 μB/atom
* calculated total energy: -5.684 eV per atom
* formation energy without anion corrections: 0.9 eV/f.u.

No. 20
Entry from Alexandria: an optimized crystal structure of Fe2SbS (PBE).

Unit cell a=5.2843 b=5.2843 c=10.5283 alpha=90.00 beta=90.00 gamma=90.00
Closest atoms and distances in Å follow each position.
Space group I-42d (No. 122)
Asymmetric unit:
Fe1 0.1859 0.2500 0.1250  2 S 2.11
Sb1 0.0000 0.0000 0.5000  4 Fe 2.50
S1 0.0000 0.0000 0.0000  4 Fe 2.11

* spin magnetization: 0.01 μB/atom
* calculated total energy: -6.132 eV per atom
* energy above the most stable polymorph in this dataset: 0.0 meV/atom
* formation energy without anion corrections: 0.6 eV/f.u.